Below is a relaxed Bi2PS crystal, with properties calculated at the PBE level.

Unit cell a=6.9621 b=6.9621 c=6.9621 alpha=117.61 beta=117.61 gamma=94.20
Fractional coordinates of all 8 atoms:
Bi 0.1165 0.6250 0.9915
Bi 0.3750 0.3665 0.4915
Bi 0.6335 0.1250 0.0085
Bi 0.8750 0.8835 0.5085
P 0.0000 0.0000 0.0000
P 0.7500 0.2500 0.5000
S 0.2500 0.7500 0.5000
S 0.5000 0.5000 0.0000

Results
Energy above the lowest structure with this stoichiometry   131 meV/atom
Total magnetization   0.0 μB/f.u.
V   123.3 Å³/f.u.
N(E_F)   2.98 states/eV/cell
Raw total energy   -33.38 eV/cell

=====

Below is a relaxed BiPS3 crystal, with properties calculated at the PBE level.

Unit cell a=4.5903 b=4.5903 c=4.5903 alpha=90.00 beta=90.00 gamma=90.00
Fractional coordinates of all 5 atoms:
Bi 0.0000 0.0000 0.0000
P 0.5000 0.5000 0.5000
S 0.0000 0.5000 0.5000
S 0.5000 0.0000 0.5000
S 0.5000 0.5000 0.0000

Results
Energy above the lowest structure with this stoichiometry   305 meV/atom
Total magnetization   0.0 μB/f.u.
V   96.7 Å³/f.u.
N(E_F)   1.31 states/eV/cell
Raw total energy   -20.89 eV/cell

=====

Below is a relaxed BiP2S2 crystal, with properties calculated at the PBE level.

Unit cell a=5.1552 b=5.1552 c=5.5180 alpha=90.00 beta=90.00 gamma=90.00
Fractional coordinates of all 5 atoms:
Bi 0.0000 0.0000 0.0000
P 0.0000 0.0000 0.5000
P 0.5000 0.5000 0.5000
S 0.0000 0.5000 0.0000
S 0.5000 0.0000 0.0000

Results
Energy above the lowest structure with this stoichiometry   1004 meV/atom
Total magnetization   0.0 μB/f.u.
V   146.6 Å³/f.u.
N(E_F)   5.82 states/eV/cell
Raw total energy   -16.18 eV/cell

=====

Below is a relaxed Bi3PS crystal, with properties calculated at the PBE level.

Unit cell a=5.3957 b=5.3957 c=5.3957 alpha=90.00 beta=90.00 gamma=90.00
Fractional coordinates of all 5 atoms:
Bi 0.0000 0.0000 0.5000
Bi 0.0000 0.5000 0.0000
Bi 0.5000 0.0000 0.0000
P 0.0000 0.0000 0.0000
S 0.5000 0.5000 0.5000

Results
Energy above the lowest structure with this stoichiometry   0 meV/atom
Total magnetization   0.0 μB/f.u.
V   157.1 Å³/f.u.
N(E_F)   7.74 states/eV/cell
Raw total energy   -17.62 eV/cell

=====

Below is a relaxed Bi2PS4 crystal, with properties calculated at the PBE level.

Unit cell a=6.1643 b=6.1643 c=6.1643 alpha=112.84 beta=112.84 gamma=102.92
Fractional coordinates of all 7 atoms:
Bi 0.2500 0.7500 0.5000
Bi 0.7500 0.2500 0.5000
P 0.0000 0.0000 0.0000
S 0.1766 0.6876 0.0000
S 0.3124 0.3124 0.4890
S 0.6876 0.1766 0.0000
S 0.8234 0.8234 0.5110

Results
Total magnetization   0.6 μB/f.u.
V   178.6 Å³/f.u.
N(E_F)   2.32 states/eV/cell
Raw total energy   -29.18 eV/cell

=====

Below is a relaxed BiP2S2 crystal, with properties calculated at the PBE level.

Unit cell a=4.6557 b=4.6557 c=4.5049 alpha=90.00 beta=90.00 gamma=90.00
Fractional coordinates of all 5 atoms:
Bi 0.0000 0.0000 0.0000
P 0.5000 0.5000 0.0000
P 0.5000 0.5000 0.5000
S 0.0000 0.5000 0.5000
S 0.5000 0.0000 0.5000

Results
Energy above the lowest structure with this stoichiometry   0 meV/atom
Total magnetization   0.0 μB/f.u.
V   97.6 Å³/f.u.
N(E_F)   2.44 states/eV/cell
Raw total energy   -21.20 eV/cell

=====

Below is a relaxed BiPS3 crystal, with properties calculated at the PBE level.

Unit cell a=7.3086 b=7.3086 c=7.3086 alpha=124.04 beta=103.30 gamma=102.13
Fractional coordinates of all 10 atoms:
Bi 0.2240 0.2500 0.4740
Bi 0.7760 0.7500 0.5260
P 0.6522 0.0296 0.1226
P 0.9070 0.5296 0.8774
S 0.0635 0.2910 0.7888
S 0.0635 0.7747 0.2725
S 0.0637 0.7506 0.8132
S 0.5022 0.2747 0.2112
S 0.5022 0.7910 0.7275
S 0.9374 0.2506 0.1868

Results
Energy above the lowest structure with this stoichiometry   0 meV/atom
Total magnetization   0.0 μB/f.u.
V   142.8 Å³/f.u.
Raw total energy   -44.82 eV/cell

=====

Below is a relaxed BiP2S2 crystal, with properties calculated at the PBE level.

Unit cell a=4.6652 b=4.6652 c=4.5597 alpha=90.00 beta=90.00 gamma=90.00
Fractional coordinates of all 5 atoms:
Bi 0.0000 0.0000 0.0000
P 0.0000 0.5000 0.5000
P 0.5000 0.0000 0.5000
S 0.5000 0.5000 0.0000
S 0.5000 0.5000 0.5000

Results
Energy above the lowest structure with this stoichiometry   269 meV/atom
Total magnetization   0.0 μB/f.u.
V   99.2 Å³/f.u.
N(E_F)   4.06 states/eV/cell
Raw total energy   -19.86 eV/cell

=====

Below is a relaxed BiPS2 crystal, with properties calculated at the PBE level.

Unit cell a=4.7980 b=4.7980 c=4.7980 alpha=60.00 beta=60.00 gamma=60.00
Fractional coordinates of all 4 atoms:
Bi 0.0000 0.0000 0.0000
P 0.5000 0.5000 0.5000
S 0.2500 0.2500 0.2500
S 0.7500 0.7500 0.7500

Results
Energy above the lowest structure with this stoichiometry   390 meV/atom
Total magnetization   0.0 μB/f.u.
V   78.1 Å³/f.u.
N(E_F)   2.38 states/eV/cell
Raw total energy   -15.69 eV/cell

=====

Below is a relaxed BiPS2 crystal, with properties calculated at the PBE level.

Unit cell a=8.5038 b=8.5038 c=8.5038 alpha=145.36 beta=145.36 gamma=49.79
Fractional coordinates of all 8 atoms:
Bi 0.0000 0.0000 0.0000
Bi 0.7500 0.2500 0.5000
P 0.2500 0.7500 0.5000
P 0.5000 0.5000 0.0000
S 0.1795 0.6250 0.0545
S 0.3750 0.4295 0.5545
S 0.5705 0.1250 0.9455
S 0.8750 0.8205 0.4455

Results
Energy above the lowest structure with this stoichiometry   224 meV/atom
Total magnetization   0.0 μB/f.u.
V   98.9 Å³/f.u.
N(E_F)   2.23 states/eV/cell
Raw total energy   -32.71 eV/cell

=====

Below is a relaxed BiPS3 crystal, with properties calculated at the PBE level.

Unit cell a=5.2096 b=5.2096 c=5.2096 alpha=90.00 beta=90.00 gamma=90.00
Fractional coordinates of all 5 atoms:
Bi 0.0000 0.0000 0.0000
P 0.5000 0.5000 0.5000
S 0.0000 0.0000 0.5000
S 0.0000 0.5000 0.0000
S 0.5000 0.0000 0.0000

Results
Energy above the lowest structure with this stoichiometry   1287 meV/atom
Total magnetization   0.7 μB/f.u.
V   141.4 Å³/f.u.
N(E_F)   6.36 states/eV/cell
Raw total energy   -15.98 eV/cell

=====

Below is a relaxed BiP2S2 crystal, with properties calculated at the PBE level.

Unit cell a=5.4450 b=5.4450 c=5.0606 alpha=90.00 beta=90.00 gamma=90.00
Fractional coordinates of all 5 atoms:
Bi 0.0000 0.0000 0.0000
P 0.0000 0.5000 0.0000
P 0.5000 0.0000 0.0000
S 0.0000 0.0000 0.5000
S 0.5000 0.5000 0.5000

Results
Energy above the lowest structure with this stoichiometry   1172 meV/atom
Total magnetization   1.4 μB/f.u.
V   150.0 Å³/f.u.
N(E_F)   5.44 states/eV/cell
Raw total energy   -15.34 eV/cell

=====

Number 1: formation energy without anion corrections 59 kJ/mol of formula units. Number 2: formation energy without anion corrections 76 kJ/mol of formula units. Number 3: formation energy without anion corrections 653 kJ/mol of formula units. Number 4: formation energy without anion corrections 344 kJ/mol of formula units. Number 5: formation energy without anion corrections 49 kJ/mol of formula units. Number 6: formation energy without anion corrections 169 kJ/mol of formula units. Number 7: formation energy without anion corrections -71 kJ/mol of formula units. Number 8: formation energy without anion corrections 299 kJ/mol of formula units. Number 9: formation energy without anion corrections 179 kJ/mol of formula units. Number 10: formation energy without anion corrections 115 kJ/mol of formula units. Number 11: formation energy without anion corrections 550 kJ/mol of formula units. Number 12: formation energy without anion corrections 735 kJ/mol of formula units.